# Tb4InGaRu2

Tb4InGaRu2 after structural relaxation (PBE, the Alexandria database).

Calculated values
Formation energy = -36 kJ per mole of atoms
Calculated total energy = -5.732 eV/atom

```
Tb4InGaRu2
1.0
2.509 1.448 8.208
-2.509 1.448 8.208
0.000 -2.897 8.208
Tb In Ga Ru
4 1 1 2
Direct
0.122 0.122 0.122
0.372 0.372 0.372
0.628 0.628 0.628
0.878 0.878 0.878
0.500 0.500 0.500
0.000 0.000 0.000
0.249 0.249 0.249
0.751 0.751 0.751
```


# InGaTe2Ru

InGaTe2Ru after structural relaxation (PBE, the Alexandria database).

Calculated values
Energy relative to the elements, uncorrected = 1.03 eV/atom
Calculated total energy = -3.240 eV/atom

```
InGaTe2Ru
1.0
5.439 0.000 0.000
0.000 5.439 0.000
0.000 0.000 5.076
In Ga Te Ru
1 1 2 1
Direct
0.000 0.000 0.000
0.000 0.000 0.500
0.000 0.500 0.500
0.500 0.000 0.500
0.500 0.500 0.000
```


# InGaTe2Ru

InGaTe2Ru after structural relaxation (PBE, the Alexandria database).

Calculated values
Energy relative to the elements, uncorrected = 1.18 eV/atom
Calculated total energy = -3.081 eV/atom

```
InGaTe2Ru
1.0
5.730 0.000 0.000
0.000 5.730 0.000
0.000 0.000 5.052
In Ga Te Ru
1 1 2 1
Direct
0.000 0.000 0.000
0.000 0.000 0.500
0.000 0.500 0.000
0.500 0.000 0.000
0.500 0.500 0.500
```


# In2GaTeRu

In2GaTeRu after structural relaxation (PBE, the Alexandria database).

Calculated values
Energy relative to the elements, uncorrected = 0.62 eV/atom
Calculated total energy = -3.567 eV/atom

```
In2GaTeRu
1.0
5.301 0.000 0.000
0.000 5.301 0.000
0.000 0.000 4.737
In Ga Te Ru
2 1 1 1
Direct
0.000 0.500 0.000
0.500 0.000 0.000
0.000 0.000 0.000
0.500 0.500 0.500
0.000 0.000 0.500
```


# Tm4InGa2Ru

Tm4InGa2Ru after structural relaxation (PBE, the Alexandria database).

Calculated values
Formation energy = -49 kJ per mole of atoms
Calculated total energy = -5.006 eV/atom

```
Tm4InGa2Ru
1.0
2.504 1.446 8.140
-2.504 1.446 8.140
0.000 -2.891 8.140
Tm In Ga Ru
4 1 2 1
Direct
0.117 0.117 0.117
0.369 0.369 0.369
0.631 0.631 0.631
0.883 0.883 0.883
0.500 0.500 0.500
0.248 0.248 0.248
0.752 0.752 0.752
0.000 0.000 0.000
```


# VInGa2Ru

VInGa2Ru after structural relaxation (PBE, the Alexandria database).

Calculated values
Formation energy = 57 kJ per mole of atoms
Calculated total energy = -4.841 eV/atom

```
VInGa2Ru
1.0
4.923 0.000 0.000
0.000 4.923 0.000
0.000 0.000 4.389
V In Ga Ru
1 1 2 1
Direct
0.000 0.000 0.000
0.500 0.500 0.500
0.000 0.500 0.000
0.500 0.000 0.000
0.000 0.000 0.500
```


no.,spin magnetization (μB per cell)
1,0.00
2,2.68
3,2.75
4,1.08
5,0.00
6,0.00